Compound: LaCr2Fe
Source: Alexandria via LeMat-Bulk
Functional: PBE-GGA
Structure: optimized geometry

For the relative energy among the computed polymorphs, the calculation gives 41.8 kJ per mole of atoms. Its formation energy is 795 meV/atom. As for the magnetic moment: 0.7 μB/f.u.

It has space group I4_1/amd (No. 141, origin choice 2), with a = 4.5355 Å, b = 4.5355 Å, c = 15.6159 Å, α = 90.00°, β = 90.00° and γ = 90.00°. The inequivalent atoms are La at (0.0000, 0.2500, 0.3750), Cr at (0.0000, 0.0000, 0.0000) and Fe at (0.0000, 0.2500, 0.8750).


Compound: Pu2Si6IrPt
Source: Alexandria via LeMat-Bulk
Functional: PBE-GGA
Structure: optimized geometry

As for the magnetic moment: 11.1 μB/f.u. The formation energy without anion corrections comes out at -0.3755 eV per atom.

It has space group R-3m (No. 166, hexagonal axes), with a = 5.8714 Å, b = 5.8714 Å, c = 37.8086 Å, α = 90.00°, β = 90.00° and γ = 120.00°. The inequivalent atoms are Pu at (0.0000, 0.0000, 0.1253), Pu at (0.0000, 0.0000, 0.2755), Si at (0.0620, 0.5310, 0.7196), Si at (0.0660, 0.5330, 0.8695), Ir at (0.0000, 0.0000, 0.0000), Ir at (0.0000, 0.0000, 0.5000) and Pt at (0.0000, 0.0000, 0.4202).


Compound: BaMgPt2
Source: Alexandria via LeMat-Bulk
Functional: PBE-GGA
Structure: optimized geometry

Its formation energy is -588 meV/atom. As for the magnetic moment: 0.0 μB/f.u.

It has space group Cm (No. 8), with a = 7.9586 Å, b = 4.5927 Å, c = 6.2499 Å, α = 90.00°, β = 114.91° and γ = 90.00°. The inequivalent atoms are Ba at (0.0000, 0.0000, 0.0000), Mg at (0.3101, 0.5000, 0.4309), Pt at (0.1913, 0.0000, 0.5745) and Pt at (0.4822, 0.0000, 0.4471).


Compound: Rb2HfBeAs
Source: Alexandria via LeMat-Bulk
Functional: PBE-GGA
Structure: optimized geometry

Its formation energy is 788 meV/atom. As for the magnetic moment: 1.0 μB/f.u.

It has space group P4/mmm (No. 123), with a = 6.7916 Å, b = 6.7916 Å, c = 5.0976 Å, α = 90.00°, β = 90.00° and γ = 90.00°. The inequivalent atoms are Rb at (0.0000, 0.5000, 0.0000), Hf at (0.0000, 0.0000, 0.5000), Be at (0.5000, 0.5000, 0.5000) and As at (0.0000, 0.0000, 0.0000).


Compound: Pr5Sm6Y2
Source: Alexandria via LeMat-Bulk
Functional: PBE-GGA
Structure: optimized geometry

Its formation energy is 88 meV/atom. As for the magnetic moment: 0.0 μB/f.u.

It has space group Pbam (No. 55), with a = 11.8636 Å, b = 20.9518 Å, c = 3.6599 Å, α = 90.00°, β = 90.00° and γ = 90.00°. The inequivalent atoms are Pr at (0.0000, 0.0000, 0.0000), Pr at (0.0872, 0.2740, 0.0000), Pr at (0.1984, 0.5528, 0.0000), Sm at (0.0617, 0.4196, 0.5000), Sm at (0.0809, 0.1325, 0.5000), Sm at (0.1751, 0.8629, 0.0000) and Y at (0.1698, 0.7116, 0.5000).


Compound: ErMg2Cd
Source: Alexandria via LeMat-Bulk
Functional: PBE-GGA
Structure: optimized geometry

For the relative energy among the computed polymorphs, the calculation gives 2.0 kJ per mole of atoms. Its formation energy is -157 meV/atom. As for the magnetic moment: 0.0 μB/f.u.

It has space group P4/mmm (No. 123), with a = 4.4638 Å, b = 4.4638 Å, c = 4.8522 Å, α = 90.00°, β = 90.00° and γ = 90.00°. The inequivalent atoms are Er at (0.0000, 0.0000, 0.0000), Mg at (0.0000, 0.5000, 0.5000) and Cd at (0.5000, 0.5000, 0.0000).